[1]
The following is a PBE-GGA calculation of Li2HgBi after structural relaxation, from OQMD via LeMat-Bulk.

abc: 4.7548 4.7548 8.6213
angles: 90.00 90.00 120.00
Space group P6_3/mmc (No. 194)
Asymmetric unit:
Li  0.3333  0.6667  0.0799
Hg  0.3333  0.6667  0.7500
Bi  0.0000  0.0000  0.0000

Results
As for the total DFT energy (no corrections): -2.325 eV/atom. As for the crystal system: hexagonal.

[2]
The following is a PBE-GGA calculation of Li2HgBi after structural relaxation, from OQMD via LeMat-Bulk.

abc: 4.7244 4.7244 8.7120
angles: 90.00 90.00 120.00
Space group P6_3/mmc (No. 194)
Asymmetric unit:
Li  0.3333  0.6667  0.0899
Hg  0.0000  0.0000  0.0000
Bi  0.3333  0.6667  0.7500

Results
As for the total DFT energy (no corrections): -2.367 eV/atom. As for the crystal system: hexagonal.

[3]
The following is a PBE-GGA calculation of Li2HgBi after structural relaxation, from OQMD via LeMat-Bulk.

abc: 7.1327 7.1327 7.1327
angles: 90.00 90.00 90.00
Space group F-43m (No. 216)
Asymmetric unit:
Li  0.0000  0.0000  0.0000
Li  0.2500  0.2500  0.2500
Hg  0.2500  0.2500  0.7500
Bi  0.0000  0.0000  0.5000

Results
As for the total DFT energy (no corrections): -2.272 eV/atom. As for the crystal system: cubic.